1.
The following is a PBE calculation of a geometry-optimized LiSn2O4 structure, from Alexandria via LeMat-Bulk.

Its raw formation energy is -1559 meV/atom. The calculation puts the calculated volume at 99 Å³/f.u.

The space group is Fd-3m (No. 227, origin choice 2) and the conventional cell measures 9.240, 9.240 and 9.240 Å, with angles of 90.00, 90.00 and 90.00 degrees. The distinct sites, in fractional coordinates, are Li at (0.125, 0.125, 0.125), Sn at (0.000, 0.000, 0.500) and O at (0.014, 0.014, 0.736).


2.
The following is a PBE calculation of a geometry-optimized LiSn3O structure, from Alexandria via LeMat-Bulk.

Its raw formation energy is 440 meV/atom. The calculation puts the calculated volume at 114 Å³/f.u. For the energy above the most stable polymorph in this dataset, the calculation gives 3.72 eV/f.u.

The space group is Pm-3m (No. 221) and the conventional cell measures 4.855, 4.855 and 4.855 Å, with angles of 90.00, 90.00 and 90.00 degrees. The distinct sites, in fractional coordinates, are Li at (0.000, 0.000, 0.000), Sn at (0.000, 0.000, 0.500) and O at (0.500, 0.500, 0.500).